# 1
Here is an optimized crystal structure of Ba3Y2N4 from the Alexandria database. Energies are from PBE.

Structure (CIF):
```
data_Ba3Y2N4
_cell_length_a 7.877
_cell_length_b 10.589
_cell_length_c 6.967
_cell_angle_alpha 90.00
_cell_angle_beta 91.51
_cell_angle_gamma 132.23
_space_group_name_H-M_alt 'P 1'
_space_group_IT_number 1
loop_
_space_group_symop_operation_xyz
'x,y,z'
loop_
_atom_site_label
_atom_site_fract_x
_atom_site_fract_y
_atom_site_fract_z
Y1 0.488 0.850 0.421
N1 0.223 0.864 0.493
Ba1 0.221 0.304 0.585
N2 0.777 0.640 0.007
Ba2 0.779 0.082 0.915
Y2 0.512 0.362 0.079
N3 0.400 0.629 0.598
N4 0.600 0.371 0.402
Y3 0.488 0.638 0.921
N5 0.400 0.771 0.098
Ba3 0.221 0.918 0.085
N6 0.223 0.360 0.993
Ba4 0.000 0.426 0.250
Ba5 0.000 0.574 0.750
N7 0.600 0.229 0.902
N8 0.777 0.136 0.507
Y4 0.512 0.150 0.579
Ba6 0.779 0.696 0.415
```

## Properties
Crystal system   monoclinic
Symmetry   C2/c, No. 15
Energy relative to the elements, uncorrected   -817 meV per atom



# 2
Here is an optimized crystal structure of ZnSbMo2 from the Alexandria database. Energies are from PBE.

Structure (CIF):
```
data_ZnSbMo2
_cell_length_a 5.179
_cell_length_b 5.179
_cell_length_c 4.426
_cell_angle_alpha 64.78
_cell_angle_beta 64.78
_cell_angle_gamma 39.84
_space_group_name_H-M_alt 'P 1'
_space_group_IT_number 1
loop_
_space_group_symop_operation_xyz
'x,y,z'
loop_
_atom_site_label
_atom_site_fract_x
_atom_site_fract_y
_atom_site_fract_z
Sb1 0.495 0.495 0.505
Zn1 0.256 0.256 0.244
Mo1 0.740 0.740 0.760
Mo2 0.010 0.010 0.991
```

## Properties
Excess energy over the best structure of this formula in the dataset   161.6 meV/atom
Crystal system   monoclinic
Symmetry   Cm, No. 8
Energy relative to the elements, uncorrected   280 meV per atom



# 3
Here is an optimized crystal structure of BaSi2Rh from the Alexandria database. Energies are from PBE.

Structure (CIF):
```
data_BaSi2Rh
_cell_length_a 5.392
_cell_length_b 5.392
_cell_length_c 5.392
_cell_angle_alpha 134.19
_cell_angle_beta 105.92
_cell_angle_gamma 91.65
_space_group_name_H-M_alt 'P 1'
_space_group_IT_number 1
loop_
_space_group_symop_operation_xyz
'x,y,z'
loop_
_atom_site_label
_atom_site_fract_x
_atom_site_fract_y
_atom_site_fract_z
Rh1 0.250 0.750 0.500
Si1 0.405 0.405 0.000
Si2 0.095 0.095 0.000
Ba1 0.750 0.250 0.500
```

## Properties
Crystal system   orthorhombic
Symmetry   Immm, No. 71
Energy relative to the elements, uncorrected   -245 meV per atom



# 4
Here is an optimized crystal structure of Tb12Pr7Sc from the Alexandria database. Energies are from PBE.

Structure (CIF):
```
data_Tb12Pr7Sc
_cell_length_a 8.784
_cell_length_b 8.784
_cell_length_c 8.784
_cell_angle_alpha 92.73
_cell_angle_beta 92.73
_cell_angle_gamma 92.73
_space_group_name_H-M_alt 'P 1'
_space_group_IT_number 1
loop_
_space_group_symop_operation_xyz
'x,y,z'
loop_
_atom_site_label
_atom_site_fract_x
_atom_site_fract_y
_atom_site_fract_z
Pr1 0.633 0.954 0.880
Tb1 0.862 0.260 0.711
Tb2 0.138 0.740 0.289
Tb3 0.740 0.289 0.138
Tb4 0.260 0.711 0.862
Tb5 0.444 0.838 0.544
Pr2 0.880 0.633 0.954
Tb6 0.556 0.162 0.456
Tb7 0.289 0.138 0.740
Tb8 0.838 0.544 0.444
Pr3 0.500 0.500 0.500
Sc1 0.000 0.000 0.000
Tb9 0.456 0.556 0.162
Tb10 0.711 0.862 0.260
Pr4 0.367 0.046 0.120
Pr5 0.954 0.880 0.633
Tb11 0.544 0.444 0.838
Pr6 0.120 0.367 0.046
Tb12 0.162 0.456 0.556
Pr7 0.046 0.120 0.367
```

## Properties
Excess energy over the best structure of this formula in the dataset   0.0 meV/atom
Crystal system   trigonal
Symmetry   R-3, No. 148



Q: Which mass density values were calculated for the entries above? A: 4.99; 9.29; 4.80; 7.22, in g cm⁻³.